## Hf2BO4 (GGA-PBE)

Data for a relaxed Hf2BO4 crystal.

Cell lengths 6.372, 6.372, 6.372 Å; angles 60.00, 60.00, 60.00 degrees
Element x y z (fractional)
Hf: 0.000 0.000 0.000
Hf: 0.000 0.000 0.500
Hf: 0.000 0.500 0.000
Hf: 0.500 0.000 0.000
B: 0.375 0.375 0.375
B: 0.625 0.625 0.625
O: 0.205 0.765 0.765
O: 0.235 0.235 0.235
O: 0.235 0.235 0.795
O: 0.235 0.795 0.235
O: 0.765 0.205 0.765
O: 0.765 0.765 0.205
O: 0.765 0.765 0.765
O: 0.795 0.235 0.235

## Properties
- size of the total moment (Bohr magnetons per cell) = 0.4
- electronic total energy (eV per atom) = -8.55

=====

## HfCdCuBi (GGA-PBE)

Data for a relaxed HfCdCuBi crystal.

Cell lengths 7.031, 7.031, 7.031 Å; angles 90.00, 90.00, 90.00 degrees
Element x y z (fractional)
Hf: 0.000 0.000 0.000
Hf: 0.000 0.500 0.500
Hf: 0.500 0.000 0.500
Hf: 0.500 0.500 0.000
Cd: 0.250 0.250 0.250
Cd: 0.250 0.750 0.750
Cd: 0.750 0.250 0.750
Cd: 0.750 0.750 0.250
Cu: 0.250 0.250 0.750
Cu: 0.250 0.750 0.250
Cu: 0.750 0.250 0.250
Cu: 0.750 0.750 0.750
Bi: 0.000 0.000 0.500
Bi: 0.000 0.500 0.000
Bi: 0.500 0.000 0.000
Bi: 0.500 0.500 0.500

## Properties
- size of the total moment (Bohr magnetons per cell) = 0.0
- electronic total energy (eV per atom) = -4.29

=====

## SnGe2Pt2 (GGA-PBE)

Data for a relaxed SnGe2Pt2 crystal.

Cell lengths 4.519, 4.519, 9.565 Å; angles 90.00, 90.00, 90.00 degrees
Element x y z (fractional)
Sn: 0.000 0.000 0.000
Sn: 0.500 0.500 0.500
Ge: 0.000 0.000 0.370
Ge: 0.000 0.000 0.630
Ge: 0.500 0.500 0.130
Ge: 0.500 0.500 0.870
Pt: 0.000 0.500 0.250
Pt: 0.000 0.500 0.750
Pt: 0.500 0.000 0.250
Pt: 0.500 0.000 0.750

## Properties
- size of the total moment (Bohr magnetons per cell) = 0.0
- electronic total energy (eV per atom) = -5.31

=====

Q: size of the total moment of number 2 (HfCdCuBi)?
A: 0.0 Bohr magnetons per cell